{
  "formula": "Mg2CdP",
  "functional": "SCAN",
  "state": "single point on PBEsol structure",
  "lattice_angstrom": [[-1.680, 3.522, -0.322], [0.147, -1.786, 3.503], [6.201, 2.872, -0.939]],
  "species": ["Cd", "Mg", "Mg", "P"],
  "frac_coords": [[0.500, 0.000, 0.000], [0.273, 0.546, 0.316], [0.727, 0.454, 0.684], [0.000, 0.000, 0.500]],
  "de_polymorph_ev_per_atom": 0.000,
  "e_tot_ev_per_atom": -12.990,
  "space_group": "C2/m, No. 12",
  "formation_enthalpy_0k_mev_per_atom": -299.6
}


{
  "formula": "Mg2CdP",
  "functional": "SCAN",
  "state": "single point on PBEsol structure",
  "lattice_angstrom": [[-3.645, 0.890, -0.119], [-0.800, -2.950, 2.436], [1.071, 4.791, 3.018]],
  "species": ["Mg", "Mg", "P", "Cd"],
  "frac_coords": [[0.500, 0.267, 0.534], [0.000, 0.956, 0.912], [0.000, 0.721, 0.442], [0.500, 0.546, 0.093]],
  "de_polymorph_ev_per_atom": 0.003,
  "e_tot_ev_per_atom": -12.986,
  "space_group": "Amm2, No. 38",
  "formation_enthalpy_0k_mev_per_atom": -296.2
}


{
  "formula": "Mg2CdPb",
  "functional": "SCAN",
  "state": "single point on PBEsol structure",
  "lattice_angstrom": [[4.438, 0.000, 0.000], [0.000, 4.438, 0.000], [-2.219, -2.219, 4.732]],
  "species": ["Mg", "Mg", "Cd", "Pb"],
  "frac_coords": [[0.000, 0.000, 0.000], [0.750, 0.250, 0.500], [0.250, 0.750, 0.500], [0.500, 0.500, 0.000]],
  "e_tot_ev_per_atom": -29.156,
  "space_group": "I-4m2, No. 119",
  "formation_enthalpy_0k_mev_per_atom": -120.5
}


{
  "formula": "MgCd2Pb",
  "functional": "SCAN",
  "state": "single point on PBEsol structure",
  "lattice_angstrom": [[3.358, 0.000, 0.000], [0.000, 5.406, 0.000], [-1.679, -2.703, 5.272]],
  "species": ["Cd", "Cd", "Mg", "Pb"],
  "frac_coords": [[0.750, 0.250, 0.500], [0.013, 0.013, 0.026], [0.487, 0.487, 0.975], [0.249, 0.749, 0.499]],
  "de_polymorph_ev_per_atom": 0.065,
  "e_tot_ev_per_atom": -35.379,
  "space_group": "Imm2, No. 44",
  "formation_enthalpy_0k_mev_per_atom": 16.9
}


What is the formula in the first record? Mg2CdP